1.
VASP calculation (GGA-PBEsol) on a relaxed Zr4WC5 crystal.

a b c (Å): 13.413 13.413 13.413
angles (deg): 13.91 13.91 13.91
Fractional coordinates of all 10 atoms:
Zr (0.102, 0.102, 0.102)
Zr (0.299, 0.299, 0.299)
Zr (0.701, 0.701, 0.701)
Zr (0.898, 0.898, 0.898)
W (0.500, 0.500, 0.500)
C (0.000, 0.000, 0.000)
C (0.196, 0.196, 0.196)
C (0.402, 0.402, 0.402)
C (0.598, 0.598, 0.598)
C (0.804, 0.804, 0.804)

Calculated values
uncorrected energy	-10.57	eV per atom
E_form	-0.731	eV/atom

=====

2.
VASP calculation (GGA-PBEsol) on a relaxed Zr3WC crystal.

a b c (Å): 4.467 4.467 4.467
angles (deg): 90.00 90.00 90.00
Fractional coordinates of all 5 atoms:
Zr (0.000, 0.000, 0.500)
Zr (0.000, 0.500, 0.000)
Zr (0.500, 0.000, 0.000)
W (0.500, 0.500, 0.500)
C (0.000, 0.000, 0.000)

Calculated values
uncorrected energy	-10.22	eV per atom
E_form	-0.072	eV/atom

=====

3.
VASP calculation (GGA-PBEsol) on a relaxed ZrW2C crystal.

a b c (Å): 7.457 7.457 7.457
angles (deg): 23.73 23.73 23.73
Fractional coordinates of all 4 atoms:
Zr (0.000, 0.000, 0.000)
W (0.221, 0.221, 0.221)
W (0.779, 0.779, 0.779)
C (0.500, 0.500, 0.500)

Calculated values
uncorrected energy	-11.57	eV per atom
E_form	0.016	eV/atom

=====

4.
VASP calculation (GGA-PBEsol) on a relaxed ZrWC crystal.

a b c (Å): 4.167 4.167 4.167
angles (deg): 60.00 60.00 60.00
Fractional coordinates of all 3 atoms:
Zr (0.000, 0.000, 0.000)
W (0.250, 0.250, 0.250)
C (0.750, 0.750, 0.750)

Calculated values
uncorrected energy	-8.39	eV per atom
E_form	2.452	eV/atom

=====

5.
VASP calculation (GGA-PBEsol) on a relaxed ZrWC2 crystal.

a b c (Å): 4.418 4.418 4.418
angles (deg): 139.83 103.25 90.39
Fractional coordinates of all 4 atoms:
Zr (0.000, 0.000, 0.000)
W (0.500, 0.500, 0.000)
C (0.271, 0.771, 0.500)
C (0.729, 0.229, 0.500)

Calculated values
uncorrected energy	-10.27	eV per atom
E_form	0.278	eV/atom
polymorph energy (0 for the lowest one)	0.788	eV/f.u.

=====

6.
VASP calculation (GGA-PBEsol) on a relaxed ZrWC3 crystal.

a b c (Å): 4.068 4.068 4.068
angles (deg): 90.00 90.00 90.00
Fractional coordinates of all 5 atoms:
Zr (0.000, 0.000, 0.000)
W (0.500, 0.500, 0.500)
C (0.000, 0.000, 0.500)
C (0.000, 0.500, 0.000)
C (0.500, 0.000, 0.000)

Calculated values
uncorrected energy	-7.72	eV per atom
E_form	2.646	eV/atom

=====

7.
VASP calculation (GGA-PBEsol) on a relaxed Y3C crystal.

a b c (Å): 9.265 9.265 9.265
angles (deg): 22.02 22.02 22.02
Fractional coordinates of all 4 atoms:
Y (0.000, 0.000, 0.000)
Y (0.216, 0.216, 0.216)
Y (0.784, 0.784, 0.784)
C (0.500, 0.500, 0.500)

Calculated values
uncorrected energy	-7.71	eV per atom
E_form	-0.184	eV/atom
polymorph energy (0 for the lowest one)	0.024	eV/f.u.

=====

8.
VASP calculation (GGA-PBEsol) on a relaxed Y3C2 crystal.

a b c (Å): 3.587 3.587 9.143
angles (deg): 90.00 90.00 120.00
Fractional coordinates of all 5 atoms:
Y (0.000, 0.000, 0.000)
Y (0.333, 0.667, 0.297)
Y (0.667, 0.333, 0.703)
C (0.333, 0.667, 0.827)
C (0.667, 0.333, 0.173)

Calculated values
uncorrected energy	-8.27	eV per atom
E_form	-0.324	eV/atom
polymorph energy (0 for the lowest one)	0.000	eV/f.u.

=====

9.
VASP calculation (GGA-PBEsol) on a relaxed YC2 crystal.

a b c (Å): 4.605 4.605 4.605
angles (deg): 144.90 144.90 50.49
Fractional coordinates of all 3 atoms:
Y (0.000, 0.000, 0.000)
C (0.284, 0.284, 0.000)
C (0.716, 0.716, 0.000)

Calculated values
uncorrected energy	-7.22	eV per atom
E_form	1.478	eV/atom
polymorph energy (0 for the lowest one)	5.075	eV/f.u.

=====

10.
VASP calculation (GGA-PBEsol) on a relaxed Y3C2 crystal.

a b c (Å): 9.505 9.505 9.505
angles (deg): 21.73 21.73 21.73
Fractional coordinates of all 5 atoms:
Y (0.000, 0.000, 0.000)
Y (0.236, 0.236, 0.236)
Y (0.764, 0.764, 0.764)
C (0.390, 0.390, 0.390)
C (0.610, 0.610, 0.610)

Calculated values
uncorrected energy	-8.27	eV per atom
E_form	-0.316	eV/atom
polymorph energy (0 for the lowest one)	0.041	eV/f.u.

=====

11.
VASP calculation (GGA-PBEsol) on a relaxed YC2 crystal.

a b c (Å): 7.528 7.528 3.157
angles (deg): 90.00 90.00 157.99
Fractional coordinates of all 6 atoms:
Y (0.129, 0.871, 0.000)
Y (0.871, 0.129, 0.000)
C (0.000, 0.000, 0.500)
C (0.273, 0.727, 0.500)
C (0.500, 0.500, 0.000)
C (0.727, 0.273, 0.500)

Calculated values
uncorrected energy	-8.07	eV per atom
E_form	0.638	eV/atom
polymorph energy (0 for the lowest one)	2.554	eV/f.u.

=====

12.
VASP calculation (GGA-PBEsol) on a relaxed Y5C3 crystal.

a b c (Å): 6.517 6.517 3.755
angles (deg): 90.00 90.00 114.66
Fractional coordinates of all 8 atoms:
Y (0.000, 0.000, 0.000)
Y (0.000, 0.500, 0.000)
Y (0.294, 0.294, 0.500)
Y (0.500, 0.000, 0.000)
Y (0.706, 0.706, 0.500)
C (0.161, 0.839, 0.500)
C (0.500, 0.500, 0.000)
C (0.839, 0.161, 0.500)

Calculated values
uncorrected energy	-7.64	eV per atom
E_form	0.245	eV/atom